1.
# PBE KNa3Sb, optimized geometry
# Total moment: 0.0 μB per cell
# E_form (uncorrected): 0.477 eV/atom
# N(E_F): 2.3 states/eV/f.u.
# Electronic total energy: -6.79 eV/f.u.
# Relative energy among the computed polymorphs: 748 meV/atom
data_KNa3Sb
_chemical_formula_sum 'K1 Na3 Sb1'
_symmetry_space_group_name_H-M 'P m -3 m'
_symmetry_Int_Tables_number 221
_symmetry_space_group_name_Hall '-P 4 2 3'
_cell_length_a 5.772
_cell_length_b 5.772
_cell_length_c 5.772
_cell_angle_alpha 90.00
_cell_angle_beta 90.00
_cell_angle_gamma 90.00
loop_
_atom_site_label
_atom_site_type_symbol
_atom_site_fract_x
_atom_site_fract_y
_atom_site_fract_z
K1 K 0.000 0.000 0.000
Na1 Na 0.000 0.000 0.500
Sb1 Sb 0.500 0.500 0.500

2.
# PBE Zr2FeHg, optimized geometry
# Energy of formation from the pure elements: 0.078 eV per atom
# Total moment: 3.3 μB per cell
# N(E_F): 4.6 states/eV/f.u.
# Electronic total energy: -25.55 eV/f.u.
data_Zr2FeHg
_chemical_formula_sum 'Zr4 Fe2 Hg2'
_symmetry_space_group_name_H-M 'I -4 m 2'
_symmetry_Int_Tables_number 119
_symmetry_space_group_name_Hall 'I -4 -2'
_cell_length_a 4.139
_cell_length_b 4.139
_cell_length_c 9.085
_cell_angle_alpha 90.00
_cell_angle_beta 90.00
_cell_angle_gamma 90.00
loop_
_atom_site_label
_atom_site_type_symbol
_atom_site_fract_x
_atom_site_fract_y
_atom_site_fract_z
Zr1 Zr 0.000 0.000 0.000
Zr2 Zr 0.000 0.500 0.250
Fe1 Fe 0.000 0.500 0.750
Hg1 Hg 0.000 0.000 0.500

3.
# PBE MnZnFe2, optimized geometry
# Energy of formation from the pure elements: 0.106 eV per atom
# Total moment: 8.7 μB per cell
# N(E_F): 2.9 states/eV/f.u.
# Electronic total energy: -26.95 eV/f.u.
data_MnZnFe2
_chemical_formula_sum 'Mn3 Zn3 Fe6'
_symmetry_space_group_name_H-M 'R 3 m'
_symmetry_Int_Tables_number 160
_symmetry_space_group_name_Hall 'R 3 -2"'
_cell_length_a 2.5396
_cell_length_b 2.5396
_cell_length_c 25.3547
_cell_angle_alpha 90.00
_cell_angle_beta 90.00
_cell_angle_gamma 120.00
loop_
_atom_site_label
_atom_site_type_symbol
_atom_site_fract_x
_atom_site_fract_y
_atom_site_fract_z
Mn1 Mn 0.0000 0.0000 0.0000
Zn1 Zn 0.0000 0.0000 0.7543
Fe1 Fe 0.0000 0.0000 0.2578
Fe2 Fe 0.0000 0.0000 0.5078